ScMo2Ru PBE-GGA optimized geometry; symmetry = No. 12; energy above the lowest structure with this stoichiometry = 105 meV per atom; DOS at the Fermi energy = 3.25 states/eV per cell; size of the total moment = 0.0 μB per formula unit; calculated total energy = -9.32 eV/atom; energy of formation = 0.00 eV/atom
1.0
5.257 -0.008 -0.008
-2.592 4.573 -0.008
0.456 0.782 2.683
Sc Mo Ru
1 2 1
Direct
0.000 0.500 0.500
0.000 0.000 0.000
0.500 0.500 0.000
0.500 0.000 0.500

***

Rb5Al2O6 PBE-GGA optimized geometry; symmetry = No. 15; formation energy without anion corrections = -1910.2 meV/atom; DOS at the Fermi energy = 18.08 states/eV per cell; size of the total moment = 1.1 μB per formula unit; calculated total energy = -5.15 eV/atom
1.0
-6.295 1.693 0.398
-2.363 0.459 6.071
1.815 14.534 1.905
O Rb Al
12 10 4
Direct
0.153 0.004 0.624
0.639 0.828 0.550
0.408 0.270 0.637
0.828 0.639 0.050
0.172 0.361 0.950
0.996 0.847 0.876
0.730 0.592 0.863
0.361 0.172 0.450
0.847 0.996 0.376
0.004 0.153 0.124
0.592 0.730 0.363
0.270 0.408 0.137
0.203 0.101 0.291
0.899 0.797 0.209
0.797 0.899 0.709
0.801 0.327 0.505
0.101 0.203 0.791
0.593 0.407 0.250
0.407 0.593 0.750
0.673 0.199 0.995
0.199 0.673 0.495
0.327 0.801 0.005
0.374 0.080 0.573
0.626 0.920 0.427
0.920 0.626 0.927
0.080 0.374 0.073

***

Ba2As2H4Rh PBE-GGA optimized geometry; symmetry = No. 139; DOS at the Fermi energy = 6.62 states/eV per cell; size of the total moment = 0.0 μB per formula unit; calculated total energy = -4.15 eV/atom
1.0
5.965 -0.030 -0.047
-2.424 5.450 0.047
-2.424 -2.284 4.949
Rh H As Ba
1 4 2 2
Direct
0.000 0.000 0.000
0.370 0.185 0.185
0.000 0.815 0.185
0.630 0.815 0.815
0.000 0.185 0.815
0.000 0.339 0.339
0.000 0.661 0.661
0.500 0.250 0.750
0.500 0.750 0.250

***

TbTh2Pt3 PBE-GGA optimized geometry; symmetry = No. 70; DOS at the Fermi energy = 10.77 states/eV per cell; size of the total moment = 0.0 μB per formula unit; calculated total energy = -7.48 eV/atom; energy of formation = -1.21 eV/atom
1.0
-3.553 5.923 -1.997
1.949 -3.757 -5.812
-10.061 -7.443 4.372
Th Pt Tb
8 12 4
Direct
0.417 0.417 0.834
0.501 0.001 0.002
0.583 0.583 0.166
0.667 0.167 0.334
0.833 0.333 0.666
0.251 0.251 0.502
0.999 0.499 0.998
0.749 0.749 0.498
0.584 0.584 0.667
0.917 0.918 0.333
0.082 0.083 0.667
0.333 0.832 0.167
0.751 0.751 0.000
0.168 0.667 0.833
0.499 0.999 0.500
0.416 0.416 0.333
0.001 0.501 0.500
0.666 0.166 0.833
0.834 0.334 0.167
0.249 0.249 0.000
0.167 0.667 0.333
0.333 0.833 0.667
0.083 0.083 0.167
0.917 0.917 0.833